## A
Below is a crystal of Ag2RuW relaxed with PBEsol, with properties calculated at the meta-GGA SCAN level.

abc: 3.6707 4.2626 4.8455
angles: 116.09 112.26 90.00
Positions (direct):
Ag1 0.7539 0.2539 0.5077
Ag2 0.9980 0.9980 0.9960
Ru1 0.5163 0.5163 0.0326
W1 0.2318 0.7318 0.4636

Values from the calculation:
Crystal system: orthorhombic

---

## B
Below is a crystal of Ag2RuW relaxed with PBEsol, with properties calculated at the meta-GGA SCAN level.

abc: 2.7068 4.7185 5.0784
angles: 96.92 90.00 106.67
Positions (direct):
W1 0.7495 0.4991 0.2796
Ag1 0.9989 0.9978 0.9852
Ru1 0.5028 0.0057 0.4688
Ag2 0.2487 0.4974 0.7664

Values from the calculation:
Crystal system: monoclinic

---

## C
Below is a crystal of Ag2RuW relaxed with PBEsol, with properties calculated at the meta-GGA SCAN level.

abc: 4.4236 4.4236 4.4236
angles: 60.00 60.00 60.00
Positions (direct):
Ag1 0.2500 0.2500 0.2500
Ru1 0.0000 0.0000 0.0000
W1 0.5000 0.5000 0.5000
Ag2 0.7500 0.7500 0.7500

Values from the calculation:
Crystal system: cubic

---

Most stable = B

---

## A
Below is a crystal of AgRu2W relaxed with PBEsol, with properties calculated at the meta-GGA SCAN level.

abc: 3.7908 3.7918 4.8400
angles: 113.06 113.05 90.01
Positions (direct):
Ag1 0.2500 0.7500 0.4999
Ru1 0.0000 0.0000 0.0001
W1 0.4999 0.4999 0.9998
Ru2 0.7501 0.2501 0.5002

Values from the calculation:
Crystal system: tetragonal

---

## B
Below is a crystal of AgRu2W relaxed with PBEsol, with properties calculated at the meta-GGA SCAN level.

abc: 2.7340 4.7101 4.8163
angles: 100.07 106.49 90.00
Positions (direct):
W1 0.5061 0.5178 0.0122
Ru1 0.2577 0.7503 0.5155
Ru2 0.9889 0.9872 0.9778
Ag1 0.7473 0.2447 0.4945

Values from the calculation:
Crystal system: monoclinic

---

Most stable = B